Entry 1:
HoSbH: optimized geometry, PBE.

Size of the total moment   0.000 μB per atom
DFT total energy   -4.620 eV/atom
Calculated volume   118.9 Å³/cell

Unit cell a=4.342 b=4.342 c=7.508 alpha=112.36 beta=112.36 gamma=90.95
Fractional positions:
1 Sb 0.707 0.369 0.151
2 Sb 0.369 0.707 0.651
3 Ho 0.097 0.798 0.011
4 Ho 0.798 0.097 0.511
5 H 0.000 0.276 0.835
6 H 0.276 0.000 0.335

=====

Entry 2:
Tl12Se6I: optimized geometry, PBE.

Size of the total moment   0.000 μB per atom
DFT total energy   -2.963 eV/atom
Calculated volume   647.0 Å³/cell

Unit cell a=9.225 b=9.225 c=9.225 alpha=107.38 beta=107.38 gamma=107.38
Fractional positions:
1 Tl 0.883 0.117 0.500
2 Tl 0.849 0.600 0.600
3 Tl 0.600 0.600 0.849
4 Tl 0.400 0.151 0.400
5 Tl 0.400 0.400 0.151
6 Tl 0.151 0.400 0.400
7 Tl 0.117 0.500 0.883
8 Tl 0.500 0.883 0.117
9 Tl 0.117 0.883 0.500
10 Tl 0.883 0.500 0.117
11 Tl 0.500 0.117 0.883
12 Tl 0.600 0.849 0.600
13 Se 0.741 0.282 0.282
14 Se 0.282 0.282 0.741
15 Se 0.282 0.741 0.282
16 Se 0.718 0.718 0.259
17 Se 0.259 0.718 0.718
18 Se 0.718 0.259 0.718
19 I 0.000 0.000 0.000